Entry 1:
DFT (PBE) results for a relaxed structure of CaCo3Ru.

## Properties
ΔE_f   0.827 eV per atom
Polymorph energy (0 for the lowest one)   0.000 eV/atom

Cell lengths 4.5476, 4.5476, 4.5476 Å; angles 90.00, 90.00, 90.00 degrees
Fractional positions:
Ca (0.0000, 0.0000, 0.0000)
Co (0.0000, 0.5000, 0.5000)
Co (0.5000, 0.0000, 0.5000)
Co (0.5000, 0.5000, 0.0000)
Ru (0.5000, 0.5000, 0.5000)

Entry 2:
DFT (PBE) results for a relaxed structure of Ti9O13.

## Properties
Energy relative to the elements, uncorrected   -2.713 eV/atom

Cell lengths 5.1313, 5.1313, 17.4263 Å; angles 98.14, 98.14, 33.28 degrees
Fractional positions:
Ti (0.0000, 0.0000, 0.0000)
Ti (0.1571, 0.1571, 0.5378)
Ti (0.2519, 0.2519, 0.9274)
Ti (0.4327, 0.4327, 0.6271)
Ti (0.4861, 0.4861, 0.8268)
Ti (0.5139, 0.5139, 0.1732)
Ti (0.5673, 0.5673, 0.3729)
Ti (0.7481, 0.7481, 0.0726)
Ti (0.8429, 0.8429, 0.4622)
O (0.0659, 0.0659, 0.6326)
O (0.1172, 0.1172, 0.8275)
O (0.1177, 0.1177, 0.1146)
O (0.2028, 0.2028, 0.4186)
O (0.3834, 0.3834, 0.0419)
O (0.4009, 0.4009, 0.7294)
O (0.5000, 0.5000, 0.5000)
O (0.5991, 0.5991, 0.2706)
O (0.6166, 0.6166, 0.9581)
O (0.7972, 0.7972, 0.5814)
O (0.8823, 0.8823, 0.8854)
O (0.8828, 0.8828, 0.1725)
O (0.9341, 0.9341, 0.3674)

Entry 3:
DFT (PBE) results for a relaxed structure of TbPm3Pr2Er6.

## Properties
ΔE_f   0.015 eV per atom

Cell lengths 6.2160, 6.2160, 11.7671 Å; angles 95.03, 95.03, 119.99 degrees
Fractional positions:
Tb (0.0000, 0.0000, 0.0000)
Pm (0.1668, 0.8332, 0.5000)
Pm (0.5000, 0.5000, 0.5000)
Pm (0.8332, 0.1668, 0.5000)
Pr (0.3336, 0.6664, 0.0000)
Pr (0.6664, 0.3336, 0.0000)
Er (0.0836, 0.4165, 0.2503)
Er (0.2490, 0.2490, 0.7494)
Er (0.4165, 0.0836, 0.2503)
Er (0.5835, 0.9164, 0.7497)
Er (0.7510, 0.7510, 0.2506)
Er (0.9164, 0.5835, 0.7497)

Entry 4:
DFT (PBE) results for a relaxed structure of LaDyTlRu.

## Properties
ΔE_f   -0.185 eV per atom

Cell lengths 5.2171, 5.2171, 5.2171 Å; angles 60.00, 60.00, 60.00 degrees
Fractional positions:
La (0.0000, 0.0000, 0.0000)
Dy (0.5000, 0.5000, 0.5000)
Tl (0.7500, 0.7500, 0.7500)
Ru (0.2500, 0.2500, 0.2500)

Entry 5:
DFT (PBE) results for a relaxed structure of ZrGaReSi2.

## Properties
Energy relative to the elements, uncorrected   0.530 eV/atom

Cell lengths 4.5994, 4.5994, 4.8176 Å; angles 90.00, 90.00, 90.00 degrees
Fractional positions:
Zr (0.0000, 0.0000, 0.0000)
Ga (0.5000, 0.5000, 0.0000)
Re (0.5000, 0.5000, 0.5000)
Si (0.0000, 0.5000, 0.5000)
Si (0.5000, 0.0000, 0.5000)

Entry 6:
DFT (PBE) results for a relaxed structure of Cr2CoAu.

## Properties
ΔE_f   0.166 eV per atom
Polymorph energy (0 for the lowest one)   0.000 eV/atom

Cell lengths 3.7231, 3.7377, 3.8697 Å; angles 90.00, 90.00, 90.00 degrees
Fractional positions:
Cr (0.0000, 0.0000, 0.0000)
Cr (0.5000, 0.5000, 0.0000)
Co (0.0000, 0.5000, 0.5000)
Au (0.5000, 0.0000, 0.5000)

Entry 7:
DFT (PBE) results for a relaxed structure of NbCSeN2.

## Properties
Energy relative to the elements, uncorrected   1.806 eV/atom
Polymorph energy (0 for the lowest one)   0.170 eV/atom

Cell lengths 3.7505, 3.7505, 3.9068 Å; angles 90.00, 90.00, 90.00 degrees
Fractional positions:
Nb (0.0000, 0.0000, 0.0000)
C (0.5000, 0.5000, 0.5000)
Se (0.5000, 0.5000, 0.0000)
N (0.0000, 0.5000, 0.5000)
N (0.5000, 0.0000, 0.5000)

Entry 8:
DFT (PBE) results for a relaxed structure of Zr3Rh2.

## Properties
ΔE_f   -0.627 eV per atom
Polymorph energy (0 for the lowest one)   0.000 eV/atom

Cell lengths 3.3393, 3.3393, 16.9988 Å; angles 90.00, 90.00, 90.00 degrees
Fractional positions:
Zr (0.0000, 0.0000, 0.0000)
Zr (0.0000, 0.0000, 0.1900)
Zr (0.0000, 0.0000, 0.3797)
Zr (0.0000, 0.0000, 0.6203)
Zr (0.0000, 0.0000, 0.8099)
Zr (0.5000, 0.5000, 0.5000)
Rh (0.5000, 0.5000, 0.0953)
Rh (0.5000, 0.5000, 0.2818)
Rh (0.5000, 0.5000, 0.7182)
Rh (0.5000, 0.5000, 0.9047)

Entry 9:
DFT (PBE) results for a relaxed structure of TlSi3Pt.

## Properties
Energy relative to the elements, uncorrected   0.469 eV/atom
Polymorph energy (0 for the lowest one)   0.000 eV/atom

Cell lengths 4.8152, 4.8152, 4.8152 Å; angles 90.00, 90.00, 90.00 degrees
Fractional positions:
Tl (0.0000, 0.0000, 0.0000)
Si (0.0000, 0.5000, 0.5000)
Si (0.5000, 0.0000, 0.5000)
Si (0.5000, 0.5000, 0.0000)
Pt (0.5000, 0.5000, 0.5000)

Entry 10:
DFT (PBE) results for a relaxed structure of CuTeMoI2.

## Properties
Energy relative to the elements, uncorrected   0.938 eV/atom
Polymorph energy (0 for the lowest one)   0.208 eV/atom

Cell lengths 5.3152, 5.3152, 5.3150 Å; angles 90.00, 90.00, 90.00 degrees
Fractional positions:
Cu (0.0000, 0.0000, 0.0000)
Te (0.0000, 0.0000, 0.5000)
Mo (0.5000, 0.5000, 0.5000)
I (0.0000, 0.5000, 0.0000)
I (0.5000, 0.0000, 0.0000)

Entry 11:
DFT (PBE) results for a relaxed structure of K4OsRh.

## Properties
ΔE_f   1.580 eV per atom

Cell lengths 6.2865, 6.2865, 6.2865 Å; angles 60.00, 60.00, 60.00 degrees
Fractional positions:
K (0.1249, 0.1249, 0.1249)
K (0.1249, 0.1249, 0.6253)
K (0.1249, 0.6253, 0.1249)
K (0.6253, 0.1249, 0.1249)
Os (0.7500, 0.7500, 0.7500)
Rh (0.5000, 0.5000, 0.5000)

Entry 12:
DFT (PBE) results for a relaxed structure of TcC3S.

## Properties
Energy relative to the elements, uncorrected   2.498 eV/atom
Polymorph energy (0 for the lowest one)   0.220 eV/atom

Cell lengths 3.6142, 3.6142, 3.6142 Å; angles 90.00, 90.00, 90.00 degrees
Fractional positions:
Tc (0.0000, 0.0000, 0.0000)
C (0.0000, 0.5000, 0.5000)
C (0.5000, 0.0000, 0.5000)
C (0.5000, 0.5000, 0.0000)
S (0.5000, 0.5000, 0.5000)

Entry 13:
DFT (PBE) results for a relaxed structure of SbTeRu2.

## Properties
Energy relative to the elements, uncorrected   0.813 eV/atom

Cell lengths 4.7464, 4.7464, 4.7464 Å; angles 60.00, 60.00, 60.00 degrees
Fractional positions:
Sb (0.0000, 0.0000, 0.0000)
Te (0.2500, 0.2500, 0.2500)
Ru (0.5000, 0.5000, 0.5000)
Ru (0.7500, 0.7500, 0.7500)

Entry 14:
DFT (PBE) results for a relaxed structure of La3ThMg.

## Properties
ΔE_f   0.177 eV per atom

Cell lengths 9.4529, 11.8349, 6.1986 Å; angles 90.00, 90.00, 90.00 degrees
Fractional positions:
La (0.1454, 0.0740, 0.0178)
La (0.1454, 0.4260, 0.0178)
La (0.2133, 0.7500, 0.1211)
La (0.2867, 0.2500, 0.6211)
La (0.3546, 0.5740, 0.5178)
La (0.3546, 0.9260, 0.5178)
La (0.6454, 0.0740, 0.4822)
La (0.6454, 0.4260, 0.4822)
La (0.7133, 0.7500, 0.3789)
La (0.7867, 0.2500, 0.8789)
La (0.8546, 0.5740, 0.9822)
La (0.8546, 0.9260, 0.9822)
Th (0.0000, 0.0000, 0.5000)
Th (0.0000, 0.5000, 0.5000)
Th (0.5000, 0.0000, 0.0000)
Th (0.5000, 0.5000, 0.0000)
Mg (0.0647, 0.7500, 0.6415)
Mg (0.4353, 0.2500, 0.1415)
Mg (0.5647, 0.7500, 0.8585)
Mg (0.9353, 0.2500, 0.3585)

Entry 15:
DFT (PBE) results for a relaxed structure of NdErPt.

## Properties
ΔE_f   -0.799 eV per atom
Polymorph energy (0 for the lowest one)   0.061 eV/atom

Cell lengths 4.9300, 4.9300, 4.9300 Å; angles 60.00, 60.00, 60.00 degrees
Fractional positions:
Nd (0.0000, 0.0000, 0.0000)
Er (0.5000, 0.5000, 0.5000)
Pt (0.7500, 0.7500, 0.7500)

Entry 16:
DFT (PBE) results for a relaxed structure of PrZn3Ag3.

## Properties
ΔE_f   -0.092 eV per atom
Polymorph energy (0 for the lowest one)   0.000 eV/atom

Cell lengths 7.4557, 7.4557, 7.4557 Å; angles 58.46, 58.46, 58.46 degrees
Fractional positions:
Pr (0.1636, 0.1636, 0.1636)
Pr (0.8364, 0.8364, 0.8364)
Zn (0.0374, 0.2167, 0.6214)
Zn (0.2167, 0.6214, 0.0374)
Zn (0.3786, 0.9626, 0.7833)
Zn (0.6214, 0.0374, 0.2167)
Zn (0.7833, 0.3786, 0.9626)
Zn (0.9626, 0.7833, 0.3786)
Ag (0.2011, 0.4364, 0.6575)
Ag (0.3425, 0.7989, 0.5636)
Ag (0.4364, 0.6575, 0.2011)
Ag (0.5636, 0.3425, 0.7989)
Ag (0.6575, 0.2011, 0.4364)
Ag (0.7989, 0.5636, 0.3425)

Entry 17:
DFT (PBE) results for a relaxed structure of PrPa2Pt3.

## Properties
ΔE_f   -0.821 eV per atom

Cell lengths 5.3310, 5.3310, 11.0520 Å; angles 90.00, 90.00, 120.01 degrees
Fractional positions:
Pr (0.1672, 0.8328, 0.7500)
Pr (0.8328, 0.1672, 0.2500)
Pa (0.1662, 0.8338, 0.2500)
Pa (0.5000, 0.5000, 0.0000)
Pa (0.5000, 0.5000, 0.5000)
Pa (0.8338, 0.1662, 0.7500)
Pt (0.1667, 0.8333, 0.0140)
Pt (0.1667, 0.8333, 0.4860)
Pt (0.4996, 0.5004, 0.2500)
Pt (0.5004, 0.4996, 0.7500)
Pt (0.8333, 0.1667, 0.5140)
Pt (0.8333, 0.1667, 0.9860)

Entry 18:
DFT (PBE) results for a relaxed structure of Y7Ag2Pd2.

## Properties
ΔE_f   -0.250 eV per atom

Cell lengths 6.7689, 6.7689, 7.1977 Å; angles 90.00, 90.00, 108.84 degrees
Fractional positions:
Y (0.0000, 0.0000, 0.0000)
Y (0.0000, 0.5000, 0.2616)
Y (0.0000, 0.5000, 0.7384)
Y (0.5000, 0.0000, 0.2616)
Y (0.5000, 0.0000, 0.7384)
Y (0.5000, 0.5000, 0.2551)
Y (0.5000, 0.5000, 0.7449)
Ag (0.1794, 0.1794, 0.5000)
Ag (0.8206, 0.8206, 0.5000)
Pd (0.2888, 0.7112, 0.0000)
Pd (0.7112, 0.2888, 0.0000)

Entry 19:
DFT (PBE) results for a relaxed structure of NaZn2SeO6.

## Properties
Energy relative to the elements, uncorrected   -0.997 eV/atom

Cell lengths 7.4838, 7.4838, 6.1022 Å; angles 106.94, 106.94, 100.56 degrees
Fractional positions:
Na (0.1067, 0.8933, 0.7500)
Na (0.8933, 0.1067, 0.2500)
Zn (0.2998, 0.4557, 0.8589)
Zn (0.4557, 0.2998, 0.3589)
Zn (0.5443, 0.7002, 0.6411)
Zn (0.7002, 0.5443, 0.1411)
Se (0.1775, 0.8225, 0.2500)
Se (0.8225, 0.1775, 0.7500)
O (0.0341, 0.2110, 0.6991)
O (0.1559, 0.6529, 0.9867)
O (0.2110, 0.0341, 0.1991)
O (0.3193, 0.4441, 0.5442)
O (0.3471, 0.8441, 0.5133)
O (0.4441, 0.3193, 0.0442)
O (0.5559, 0.6807, 0.9558)
O (0.6529, 0.1559, 0.4867)
O (0.6807, 0.5559, 0.4558)
O (0.7890, 0.9659, 0.8009)
O (0.8441, 0.3471, 0.0133)
O (0.9659, 0.7890, 0.3009)

Entry 20:
DFT (PBE) results for a relaxed structure of La2ScNb.

## Properties
ΔE_f   0.314 eV per atom
Polymorph energy (0 for the lowest one)   0.000 eV/atom

Cell lengths 5.3383, 5.3383, 5.3383 Å; angles 60.00, 60.00, 60.00 degrees
Fractional positions:
La (0.2500, 0.2500, 0.2500)
La (0.7500, 0.7500, 0.7500)
Sc (0.0000, 0.0000, 0.0000)
Nb (0.5000, 0.5000, 0.5000)

Entry 21:
DFT (PBE) results for a relaxed structure of MnCrSb2.

## Properties
Energy relative to the elements, uncorrected   0.031 eV/atom
Polymorph energy (0 for the lowest one)   0.000 eV/atom

Cell lengths 4.0481, 4.0481, 5.6777 Å; angles 90.00, 90.00, 120.00 degrees
Fractional positions:
Mn (0.0000, 0.0000, 0.0000)
Cr (0.0000, 0.0000, 0.5000)
Sb (0.3333, 0.6667, 0.2494)
Sb (0.6667, 0.3333, 0.7506)

Entry 22:
DFT (PBE) results for a relaxed structure of Tb3Be.

## Properties
ΔE_f   0.352 eV per atom
Polymorph energy (0 for the lowest one)   0.238 eV/atom

Cell lengths 3.4559, 3.5769, 9.1296 Å; angles 90.00, 90.00, 90.00 degrees
Fractional positions:
Tb (0.0000, 0.0000, 0.0000)
Tb (0.0000, 0.5000, 0.3320)
Tb (0.5000, 0.5000, 0.7192)
Be (0.5000, 0.0000, 0.4744)

Entry 23:
DFT (PBE) results for a relaxed structure of Pr3Nd3Y8.

## Properties
ΔE_f   0.112 eV per atom
Polymorph energy (0 for the lowest one)   0.004 eV/atom

Cell lengths 9.8669, 9.8669, 9.8669 Å; angles 146.05, 113.57, 76.74 degrees
Fractional positions:
Pr (0.0000, 0.0000, 0.0000)
Pr (0.3065, 0.0000, 0.3065)
Pr (0.6935, 0.0000, 0.6935)
Nd (0.3124, 0.8124, 0.5000)
Nd (0.5000, 0.5000, 0.0000)
Nd (0.6876, 0.1876, 0.5000)
Y (0.0585, 0.2198, 0.8387)
Y (0.0585, 0.3976, 0.6609)
Y (0.2633, 0.6024, 0.6609)
Y (0.3811, 0.2198, 0.1613)
Y (0.6189, 0.7802, 0.8387)
Y (0.7367, 0.3976, 0.3391)
Y (0.9415, 0.6024, 0.3391)
Y (0.9415, 0.7802, 0.1613)

Entry 24:
DFT (PBE) results for a relaxed structure of Hf3AlCd.

## Properties
ΔE_f   0.647 eV per atom
Polymorph energy (0 for the lowest one)   0.000 eV/atom

Cell lengths 4.9769, 4.9769, 4.9769 Å; angles 90.00, 90.00, 90.00 degrees
Fractional positions:
Hf (0.0000, 0.0000, 0.5000)
Hf (0.0000, 0.5000, 0.0000)
Hf (0.5000, 0.0000, 0.0000)
Al (0.0000, 0.0000, 0.0000)
Cd (0.5000, 0.5000, 0.5000)